! PuThFeTc | Alexandria via LeMat-Bulk | PBE-GGA | relaxed; values from VASP
! energy of formation from the pure elements	79	meV per atom
! M_tot	2.6	μB/cell
&SYSTEM
  ibrav = 0, nat = 4, ntyp = 4
/
ATOMIC_SPECIES
Fe 55.84 Fe.upf
Th 232.04 Th.upf
Tc 98.00 Tc.upf
Pu 244.00 Pu.upf
ATOMIC_POSITIONS angstrom
Fe -1.7865 1.3048 -2.0109
Th -3.5729 2.6096 -4.0217
Tc -5.3594 3.9143 -6.0326
Pu 0.0000 0.0000 0.0000
CELL_PARAMETERS angstrom
-0.3524 1.5228 -4.6249
-4.2578 -0.3400 -2.3641
-2.5356 4.0363 -1.0544